Arrangement one

A relaxed SrGaAs3 crystal. Source: the Alexandria database, functional GGA-PBE.

- density of states at the Fermi level (states/eV per cell) = 5.1
- crystal system = cubic

Cell lengths 5.0345, 5.0345, 5.0345 Å; angles 90.00, 90.00, 90.00 degrees
Closest atoms and distances in Å follow each position.
Fractional coordinates of all 5 atoms:
Sr 0.0000 0.0000 0.0000  12 As 3.56
Ga 0.5000 0.5000 0.5000  6 As 2.52
As 0.0000 0.5000 0.5000  2 Ga 2.52
As 0.5000 0.0000 0.5000  2 Ga 2.52
As 0.5000 0.5000 0.0000  2 Ga 2.52



Arrangement two

A relaxed SrGaAs3 crystal. Source: the Alexandria database, functional GGA-PBE.

- density of states at the Fermi level (states/eV per cell) = 4.2
- crystal system = cubic

Cell lengths 5.6680, 5.6680, 5.6680 Å; angles 90.00, 90.00, 90.00 degrees
Closest atoms and distances in Å follow each position.
Fractional coordinates of all 5 atoms:
Sr 0.0000 0.0000 0.0000  6 As 2.83
Ga 0.5000 0.5000 0.5000  12 As 4.01
As 0.0000 0.0000 0.5000  2 Sr 2.83
As 0.0000 0.5000 0.0000  2 Sr 2.83
As 0.5000 0.0000 0.0000  2 Sr 2.83



Which one is most stable, and which one is least stable? arrangement one is the most stable of them, while arrangement two is the least stable.



Arrangement one

A relaxed Sr2GaAs2 crystal. Source: the Alexandria database, functional GGA-PBE.

- density of states at the Fermi level (states/eV per cell) = 3.0
- crystal system = monoclinic

Cell lengths 7.5192, 7.5192, 8.6512 Å; angles 119.06, 119.06, 49.54 degrees
Closest atoms and distances in Å follow each position.
Fractional coordinates of all 10 atoms:
Sr 0.0479 0.0479 0.3019  4 As 3.08-3.16
Sr 0.3212 0.3212 0.9114  5 As 3.15-3.32, 1 Ga 3.44
Sr 0.6788 0.6788 0.0887  5 As 3.15-3.32, 1 Ga 3.44
Sr 0.9521 0.9521 0.6981  4 As 3.08-3.16
Ga 0.3704 0.3704 0.3448  3 As 2.41-2.55
Ga 0.6296 0.6296 0.6552  3 As 2.41-2.55
As 0.1718 0.1718 0.0909  1 Ga 2.41
As 0.4506 0.4506 0.6772  2 Ga 2.47-2.55
As 0.5494 0.5494 0.3228  2 Ga 2.47-2.55
As 0.8282 0.8282 0.9091  1 Ga 2.41



Arrangement two

A relaxed Sr2GaAs2 crystal. Source: the Alexandria database, functional GGA-PBE.

- density of states at the Fermi level (states/eV per cell) = 2.6
- crystal system = tetragonal

Cell lengths 8.9251, 8.9251, 3.6253 Å; angles 90.00, 90.00, 90.00 degrees
Closest atoms and distances in Å follow each position.
Fractional coordinates of all 10 atoms:
Sr 0.1376 0.3624 0.0000  6 As 3.08-3.26
Sr 0.3624 0.8624 0.0000  6 As 3.08-3.26
Sr 0.6376 0.1376 0.0000  6 As 3.08-3.26
Sr 0.8624 0.6376 0.0000  6 As 3.08-3.26
Ga 0.0000 0.0000 0.0000  4 Sr 3.46, 2 Ga 3.63, 8 As 3.79
Ga 0.5000 0.5000 0.0000  4 Sr 3.46, 2 Ga 3.63, 8 As 3.79
As 0.1651 0.6651 0.5000  6 Sr 3.08-3.26
As 0.3349 0.1651 0.5000  6 Sr 3.08-3.26
As 0.6651 0.8349 0.5000  6 Sr 3.08-3.26
As 0.8349 0.3349 0.5000  6 Sr 3.08-3.26



Arrangement three

A relaxed Sr2GaAs2 crystal. Source: the Alexandria database, functional GGA-PBE.

- density of states at the Fermi level (states/eV per cell) = 3.1
- crystal system = tetragonal

Cell lengths 7.8030, 7.8030, 4.4746 Å; angles 90.00, 90.00, 90.00 degrees
Closest atoms and distances in Å follow each position.
Fractional coordinates of all 10 atoms:
Sr 0.1808 0.3192 0.0000  6 As 3.18-3.26
Sr 0.3192 0.8192 0.0000  6 As 3.18-3.26
Sr 0.6808 0.1808 0.0000  6 As 3.18-3.26
Sr 0.8192 0.6808 0.0000  6 As 3.18-3.26
Ga 0.0000 0.0000 0.5000  4 As 3.14
Ga 0.5000 0.5000 0.5000  4 As 3.14
As 0.1149 0.6149 0.5000  1 As 2.54
As 0.3851 0.1149 0.5000  1 As 2.54
As 0.6149 0.8851 0.5000  1 As 2.54
As 0.8851 0.3851 0.5000  1 As 2.54



Which one is most stable, and which one is least stable? arrangement three is the most stable of them, while arrangement two is the least stable.



Arrangement one

A relaxed TaGa3As crystal. Source: the Alexandria database, functional GGA-PBE.

- density of states at the Fermi level (states/eV per cell) = 4.5
- crystal system = cubic

Cell lengths 5.0578, 5.0578, 5.0578 Å; angles 90.00, 90.00, 90.00 degrees
Closest atoms and distances in Å follow each position.
Fractional coordinates of all 5 atoms:
Ta 0.0000 0.0000 0.0000  6 Ga 2.53
Ga 0.0000 0.0000 0.5000  2 Ta 2.53
Ga 0.0000 0.5000 0.0000  2 Ta 2.53
Ga 0.5000 0.0000 0.0000  2 Ta 2.53
As 0.5000 0.5000 0.5000  12 Ga 3.58



Arrangement two

A relaxed TaGa3As crystal. Source: the Alexandria database, functional GGA-PBE.

- density of states at the Fermi level (states/eV per cell) = 4.3
- crystal system = cubic

Cell lengths 4.8171, 4.8171, 4.8171 Å; angles 90.00, 90.00, 90.00 degrees
Closest atoms and distances in Å follow each position.
Fractional coordinates of all 5 atoms:
Ta 0.0000 0.0000 0.0000  12 Ga 3.41
Ga 0.0000 0.5000 0.5000  2 As 2.41
Ga 0.5000 0.0000 0.5000  2 As 2.41
Ga 0.5000 0.5000 0.0000  2 As 2.41
As 0.5000 0.5000 0.5000  6 Ga 2.41



Which one is most stable, and which one is least stable? arrangement one is the most stable of them, while arrangement two is the least stable.



Arrangement one

A relaxed GaTc2As crystal. Source: the Alexandria database, functional GGA-PBE.

- density of states at the Fermi level (states/eV per cell) = 4.4
- crystal system = cubic

Cell lengths 4.3391, 4.3391, 4.3391 Å; angles 60.00, 60.00, 60.00 degrees
Closest atoms and distances in Å follow each position.
Fractional coordinates of all 4 atoms:
Ga 0.0000 0.0000 0.0000  8 Tc 2.66
Tc 0.2500 0.2500 0.2500  4 As 2.66, 4 Ga 2.66
Tc 0.7500 0.7500 0.7500  4 Ga 2.66, 4 As 2.66
As 0.5000 0.5000 0.5000  8 Tc 2.66



Arrangement two

A relaxed GaTc2As crystal. Source: the Alexandria database, functional GGA-PBE.

- density of states at the Fermi level (states/eV per cell) = 2.7
- crystal system = tetragonal

Cell lengths 5.6549, 5.6549, 5.6549 Å; angles 103.76, 103.76, 121.63 degrees
Closest atoms and distances in Å follow each position.
Fractional coordinates of all 8 atoms:
Ga 0.0000 0.0000 0.0000  2 As 2.76, 8 Tc 2.76-3.08
Ga 0.7500 0.2500 0.5000  2 As 2.76, 8 Tc 2.76-3.08
Tc 0.1649 0.6250 0.0399  2 As 2.38
Tc 0.3750 0.4149 0.5399  2 As 2.38
Tc 0.5851 0.1250 0.9601  2 As 2.38
Tc 0.8750 0.8351 0.4601  2 As 2.38
As 0.2500 0.7500 0.5000  4 Tc 2.38
As 0.5000 0.5000 0.0000  4 Tc 2.38



Arrangement three

A relaxed GaTc2As crystal. Source: the Alexandria database, functional GGA-PBE.

- density of states at the Fermi level (states/eV per cell) = 4.0
- crystal system = trigonal

Cell lengths 8.0678, 8.0678, 8.0678 Å; angles 21.17, 21.17, 21.17 degrees
Closest atoms and distances in Å follow each position.
Fractional coordinates of all 4 atoms:
Ga 0.0000 0.0000 0.0000  6 Tc 2.66, 6 Ga 2.96
Tc 0.2474 0.2474 0.2474  3 As 2.56, 3 Ga 2.66
Tc 0.4196 0.4196 0.4196  3 As 2.56, 3 Ga 2.66
As 0.8337 0.8337 0.8337  6 Tc 2.56



Arrangement four

A relaxed GaTc2As crystal. Source: the Alexandria database, functional GGA-PBE.

- density of states at the Fermi level (states/eV per cell) = 3.1
- crystal system = tetragonal

Cell lengths 3.0629, 3.0629, 6.1767 Å; angles 90.00, 90.00, 90.00 degrees
Closest atoms and distances in Å follow each position.
Fractional coordinates of all 4 atoms:
Ga 0.0000 0.0000 0.0000  8 Tc 2.69
Tc 0.5000 0.5000 0.2570  4 As 2.63, 4 Ga 2.69
Tc 0.5000 0.5000 0.7430  4 As 2.63, 4 Ga 2.69
As 0.0000 0.0000 0.5000  8 Tc 2.63



Which one is most stable, and which one is least stable? arrangement four is the most stable of them, while arrangement two is the least stable.



Arrangement one

A relaxed GaTcAs crystal. Source: the Alexandria database, functional GGA-PBE.

- density of states at the Fermi level (states/eV per cell) = 2.2
- crystal system = tetragonal

Cell lengths 4.9301, 4.9301, 4.9301 Å; angles 141.43, 141.43, 55.69 degrees
Closest atoms and distances in Å follow each position.
Fractional coordinates of all 3 atoms:
Ga 0.0000 0.0000 0.0000  5 Tc 2.75-2.86, 5 As 2.76-2.81
Tc 0.6721 0.6721 0.0000  4 As 2.62, 5 Ga 2.75-2.86
As 0.3161 0.3161 0.0000  4 Tc 2.62, 5 Ga 2.76-2.81



Arrangement two

A relaxed GaTcAs crystal. Source: the Alexandria database, functional GGA-PBE.

- density of states at the Fermi level (states/eV per cell) = 3.7
- crystal system = triclinic

Cell lengths 4.2708, 5.2097, 6.5993 Å; angles 111.94, 108.83, 90.14 degrees
Closest atoms and distances in Å follow each position.
Fractional coordinates of all 6 atoms:
Ga 0.0595 0.3057 0.1189  4 Tc 2.59-2.60
Ga 0.9405 0.6943 0.8811  4 Tc 2.59-2.60
Tc 0.5000 0.0000 0.0000  2 As 2.51, 4 Ga 2.59, 2 Tc 2.60
Tc 0.5000 0.5000 0.0000  2 As 2.50, 4 Ga 2.59-2.60, 2 Tc 2.60
As 0.3141 0.0758 0.6276  2 Tc 2.50-2.51, 2 As 2.59-2.60
As 0.6859 0.9242 0.3724  2 Tc 2.50-2.51, 2 As 2.59-2.60



Which one is most stable, and which one is least stable? arrangement one is the most stable of them, while arrangement two is the least stable.